[1]
DFT (PBE) results for a geometry-optimized HgOs2S structure. Values from VASP.

```
&SYSTEM
  ibrav = 0, nat = 4, ntyp = 3
/
ATOMIC_SPECIES
Os 190.23 Os.upf
S 32.06 S.upf
Hg 200.59 Hg.upf
CELL_PARAMETERS angstrom
-3.866 -1.866 -1.224
-3.466 -0.002 2.812
-3.553 2.569 -0.836
ATOMIC_POSITIONS crystal
Os 0.250 0.250 0.250
S 0.000 0.000 0.000
Os 0.750 0.750 0.750
Hg 0.500 0.500 0.500
```

Its total moment is 0.0 μB per formula unit. As for the energy above the lowest structure with this stoichiometry: 0.4287 eV/atom. Its uncorrected formation energy is 1.277 eV per atom.



[2]
DFT (PBE) results for a geometry-optimized HgOs2S structure. Values from VASP.

```
&SYSTEM
  ibrav = 0, nat = 8, ntyp = 3
/
ATOMIC_SPECIES
Hg 200.59 Hg.upf
S 32.06 S.upf
Os 190.23 Os.upf
CELL_PARAMETERS angstrom
6.915 0.000 0.000
0.000 6.915 0.000
3.458 3.458 2.821
ATOMIC_POSITIONS crystal
Hg 0.750 0.250 0.500
S 0.500 0.500 0.000
Os 0.548 0.125 0.250
Os 0.202 0.625 0.250
Os 0.375 0.452 0.750
Hg 0.000 0.000 0.000
Os 0.875 0.798 0.750
S 0.250 0.750 0.500
```

Its total moment is 0.0 μB per formula unit. As for the energy above the lowest structure with this stoichiometry: 0.0000 eV/atom. Its uncorrected formation energy is 0.849 eV per atom.



[3]
DFT (PBE) results for a geometry-optimized HgOs3S structure. Values from VASP.

```
&SYSTEM
  ibrav = 0, nat = 5, ntyp = 3
/
ATOMIC_SPECIES
Hg 200.59 Hg.upf
Os 190.23 Os.upf
S 32.06 S.upf
CELL_PARAMETERS angstrom
-3.920 1.703 0.994
-1.961 -3.602 -1.561
0.210 -1.839 3.979
ATOMIC_POSITIONS crystal
Hg 0.500 0.500 0.500
Os 0.000 0.000 0.500
S 0.000 0.000 0.000
Os 0.500 0.000 0.000
Os 0.000 0.500 0.000
```

Its total moment is 0.0 μB per formula unit. As for the energy above the lowest structure with this stoichiometry: 0.0000 eV/atom. Its uncorrected formation energy is 1.195 eV per atom.



[4]
DFT (PBE) results for a geometry-optimized Hg3OsS structure. Values from VASP.

```
&SYSTEM
  ibrav = 0, nat = 5, ntyp = 3
/
ATOMIC_SPECIES
S 32.06 S.upf
Os 190.23 Os.upf
Hg 200.59 Hg.upf
CELL_PARAMETERS angstrom
-0.386 5.063 1.431
0.943 -1.345 5.013
5.176 0.623 -0.807
ATOMIC_POSITIONS crystal
S 0.500 0.500 0.500
Os 0.000 0.000 0.000
Hg 0.500 0.000 0.000
Hg 0.000 0.500 0.000
Hg 0.000 0.000 0.500
```

Its total moment is 3.0 μB per formula unit. As for the energy above the lowest structure with this stoichiometry: 0.0000 eV/atom. Its uncorrected formation energy is 1.080 eV per atom.



[5]
DFT (PBE) results for a geometry-optimized HgOsS3 structure. Values from VASP.

```
&SYSTEM
  ibrav = 0, nat = 5, ntyp = 3
/
ATOMIC_SPECIES
S 32.06 S.upf
Hg 200.59 Hg.upf
Os 190.23 Os.upf
CELL_PARAMETERS angstrom
4.676 0.000 0.000
0.000 4.676 0.000
0.000 0.000 4.676
ATOMIC_POSITIONS crystal
S 0.000 0.000 0.500
Hg 0.500 0.500 0.500
Os 0.000 0.000 0.000
S 0.500 0.000 0.000
S 0.000 0.500 0.000
```

Its total moment is 0.0 μB per formula unit. As for the energy above the lowest structure with this stoichiometry: 0.0000 eV/atom. Its uncorrected formation energy is 0.490 eV per atom.



[6]
DFT (PBE) results for a geometry-optimized SnHgOsS2 structure. Values from VASP.

```
&SYSTEM
  ibrav = 0, nat = 5, ntyp = 4
/
ATOMIC_SPECIES
Os 190.23 Os.upf
S 32.06 S.upf
Sn 118.71 Sn.upf
Hg 200.59 Hg.upf
CELL_PARAMETERS angstrom
4.482 0.000 0.000
0.000 5.971 0.000
0.000 0.000 4.482
ATOMIC_POSITIONS crystal
Os 0.000 0.000 0.000
S 0.500 0.000 0.000
Sn 0.000 0.500 0.000
Hg 0.500 0.500 0.500
S 0.000 0.000 0.500
```

Its total moment is 0.0 μB per formula unit. As for the energy above the lowest structure with this stoichiometry: 0.0000 eV/atom. Its uncorrected formation energy is 0.264 eV per atom.



[7]
DFT (PBE) results for a geometry-optimized SnHgOsS2 structure. Values from VASP.

```
&SYSTEM
  ibrav = 0, nat = 5, ntyp = 4
/
ATOMIC_SPECIES
Sn 118.71 Sn.upf
S 32.06 S.upf
Os 190.23 Os.upf
Hg 200.59 Hg.upf
CELL_PARAMETERS angstrom
-0.892 -4.700 -1.427
4.392 0.026 -2.830
2.553 -1.683 3.946
ATOMIC_POSITIONS crystal
Sn 0.500 0.500 0.500
S 0.000 0.000 0.500
Os 0.000 0.500 0.000
S 0.500 0.000 0.000
Hg 0.000 0.000 0.000
```

Its total moment is 3.1 μB per formula unit. As for the energy above the lowest structure with this stoichiometry: 1.2134 eV/atom. Its uncorrected formation energy is 1.477 eV per atom.



[8]
DFT (PBE) results for a geometry-optimized Tc2HgOsS structure. Values from VASP.

```
&SYSTEM
  ibrav = 0, nat = 5, ntyp = 4
/
ATOMIC_SPECIES
Hg 200.59 Hg.upf
Tc 98.00 Tc.upf
S 32.06 S.upf
Os 190.23 Os.upf
CELL_PARAMETERS angstrom
-4.163 -2.796 -1.084
2.500 -3.885 0.417
-1.159 -0.210 4.993
ATOMIC_POSITIONS crystal
Hg 0.000 0.000 0.000
Tc 0.000 0.000 0.500
Tc 0.500 0.000 0.000
S 0.000 0.500 0.000
Os 0.500 0.500 0.500
```

Its total moment is 9.1 μB per formula unit. As for the energy above the lowest structure with this stoichiometry: 0.0177 eV/atom. Its uncorrected formation energy is 2.863 eV per atom.